(1)
Density functional theory data (PBE-GGA) for HoTc2GeC after structural relaxation.

a b c (Å): 5.8465 5.8465 7.4704
angles (deg): 90.00 90.00 141.03
With the nearest neighbours (Å) after each atom.
Sites, in units of the cell vectors:
1 Ho 0.0417 0.9583 0.7500  4 C 2.74, 1 Ge 3.05
2 Ho 0.9583 0.0417 0.2500  4 C 2.74, 1 Ge 3.05
3 Tc 0.3306 0.6694 0.5578  1 C 1.92
4 Tc 0.3306 0.6694 0.9422  1 C 1.92
5 Tc 0.6694 0.3306 0.0578  1 C 1.92
6 Tc 0.6694 0.3306 0.4422  1 C 1.92
7 Ge 0.2349 0.7651 0.2500  6 Tc 2.53
8 Ge 0.7651 0.2349 0.7500  6 Tc 2.53
9 C 0.5000 0.5000 0.0000  2 Tc 1.92
10 C 0.5000 0.5000 0.5000  2 Tc 1.92

Formation energy from the elements = -0.382 eV/atom
E = -8.212 eV per atom
SG = No. 63

(2)
Density functional theory data (PBE-GGA) for Ho8Ge3Te4C after structural relaxation.

a b c (Å): 8.5023 8.5023 8.5023
angles (deg): 58.12 58.12 58.12
With the nearest neighbours (Å) after each atom.
Sites, in units of the cell vectors:
1 Ho 0.2408 0.2408 0.2408  3 Ge 2.85, 3 Te 3.08
2 Ho 0.2587 0.7232 0.7232  1 C 2.64, 2 Ge 2.86
3 Ho 0.2768 0.2768 0.7413  1 C 2.64, 2 Ge 2.86
4 Ho 0.2768 0.7413 0.2768  1 C 2.64, 2 Ge 2.86
5 Ho 0.7232 0.2587 0.7232  1 C 2.64, 2 Ge 2.86
6 Ho 0.7232 0.7232 0.2587  1 C 2.64, 2 Ge 2.86
7 Ho 0.7413 0.2768 0.2768  1 C 2.64, 2 Ge 2.86
8 Ho 0.7592 0.7592 0.7592  3 Ge 2.85, 3 Te 3.08
9 Ge 0.0000 0.0000 0.5000  6 Ho 2.85-2.86
10 Ge 0.0000 0.5000 0.0000  6 Ho 2.85-2.86
11 Ge 0.5000 0.0000 0.0000  6 Ho 2.85-2.86
12 Te 0.0000 0.0000 0.0000  6 Ho 3.29
13 Te 0.0000 0.5000 0.5000  6 Ho 3.08-3.10
14 Te 0.5000 0.0000 0.5000  6 Ho 3.08-3.10
15 Te 0.5000 0.5000 0.0000  6 Ho 3.08-3.10
16 C 0.5000 0.5000 0.5000  6 Ho 2.64

E = -5.577 eV per atom
SG = No. 166
ΔE_f (raw) = -1060 meV per atom

(3)
Density functional theory data (PBE-GGA) for Ho2Ti2Ge2C after structural relaxation.

a b c (Å): 8.0695 8.0695 8.0695
angles (deg): 150.09 150.09 42.80
With the nearest neighbours (Å) after each atom.
Sites, in units of the cell vectors:
1 Ho 0.1659 0.1659 0.0000  1 C 2.49
2 Ho 0.8341 0.8341 0.0000  1 C 2.49
3 Ti 0.0000 0.5000 0.5000  2 C 2.08
4 Ti 0.5000 0.0000 0.5000  2 C 2.08
5 Ge 0.3723 0.3723 0.0000  4 Ti 2.83, 5 Ho 3.00-3.10
6 Ge 0.6277 0.6277 0.0000  4 Ti 2.83, 5 Ho 3.00-3.10
7 C 0.0000 0.0000 0.0000  4 Ti 2.08

Formation energy from the elements = -0.832 eV/atom
E = -7.033 eV per atom
SG = No. 139

(4)
Density functional theory data (PBE-GGA) for Ho3TmGe2C after structural relaxation.

a b c (Å): 8.2389 8.2389 8.2389
angles (deg): 147.37 147.14 46.98
With the nearest neighbours (Å) after each atom.
Sites, in units of the cell vectors:
1 Ho 0.0000 0.0000 0.0000  2 C 2.33
2 Ho 0.3328 0.8328 0.5000  1 C 2.53
3 Ho 0.6672 0.1672 0.5000  1 C 2.53
4 Tm 0.5000 0.5000 0.0000  2 C 2.31
5 Ge 0.1368 0.6368 0.5000  7 Ho 2.96-3.32, 2 Tm 3.11
6 Ge 0.8632 0.3632 0.5000  7 Ho 2.96-3.32, 2 Tm 3.11
7 C 0.5000 0.0000 0.5000  2 Tm 2.31, 4 Ho 2.33-2.53

Formation energy from the elements = -0.674 eV/atom
E = -5.912 eV per atom
SG = No. 71

(5)
Density functional theory data (PBE-GGA) for Y2HoGeC after structural relaxation.

a b c (Å): 4.8252 4.8252 4.7989
angles (deg): 90.00 90.00 90.00
With the nearest neighbours (Å) after each atom.
Sites, in units of the cell vectors:
1 Y 0.0000 0.5000 0.0000  2 C 2.41
2 Y 0.5000 0.0000 0.0000  2 C 2.41
3 Ho 0.0000 0.0000 0.5000  2 C 2.40
4 Ge 0.5000 0.5000 0.5000  8 Y 3.40, 4 Ho 3.41
5 C 0.0000 0.0000 0.0000  2 Ho 2.40, 4 Y 2.41

Formation energy from the elements = -0.552 eV/atom
E = -6.821 eV per atom
SG = No. 123

(6)
Density functional theory data (PBE-GGA) for GeC2I after structural relaxation.

a b c (Å): 5.7045 5.7045 5.7045
angles (deg): 121.62 121.62 87.21
With the nearest neighbours (Å) after each atom.
Sites, in units of the cell vectors:
1 Ge 0.0000 0.0000 0.0000  4 C 1.98
2 Ge 0.7500 0.2500 0.5000  4 C 1.98
3 C 0.0467 0.6250 0.9217  2 Ge 1.98
4 C 0.3750 0.2967 0.4217  2 Ge 1.98
5 C 0.7033 0.1250 0.0783  2 Ge 1.98
6 C 0.8750 0.9533 0.5783  2 Ge 1.98
7 I 0.2500 0.7500 0.5000  4 C 2.52
8 I 0.5000 0.5000 0.0000  4 C 2.52

Excess energy over the best structure of this formula in the dataset = 0 meV per atom
E = -4.348 eV per atom
SG = No. 122
ΔE_f (raw) = 1806 meV per atom

(7)
Density functional theory data (PBE-GGA) for GeC2I after structural relaxation.

a b c (Å): 4.3275 4.3275 4.3275
angles (deg): 60.00 60.00 60.00
With the nearest neighbours (Å) after each atom.
Sites, in units of the cell vectors:
1 Ge 0.0000 0.0000 0.0000  8 C 2.65
2 C 0.2500 0.2500 0.2500  4 I 2.65, 4 Ge 2.65
3 C 0.7500 0.7500 0.7500  4 Ge 2.65, 4 I 2.65
4 I 0.5000 0.5000 0.5000  8 C 2.65

Excess energy over the best structure of this formula in the dataset = 948 meV per atom
E = -3.400 eV per atom
SG = No. 225
ΔE_f (raw) = 2753 meV per atom

(8)
Density functional theory data (PBE-GGA) for GeC3I after structural relaxation.

a b c (Å): 4.1766 4.1766 4.1766
angles (deg): 90.00 90.00 90.00
With the nearest neighbours (Å) after each atom.
Sites, in units of the cell vectors:
1 Ge 0.0000 0.0000 0.0000  12 C 2.95
2 C 0.0000 0.5000 0.5000  2 I 2.09
3 C 0.5000 0.0000 0.5000  2 I 2.09
4 C 0.5000 0.5000 0.0000  2 I 2.09
5 I 0.5000 0.5000 0.5000  6 C 2.09

E = -3.419 eV per atom
SG = No. 221
ΔE_f (raw) = 3349 meV per atom

(9)
Density functional theory data (PBE-GGA) for La4GeCI2 after structural relaxation.

a b c (Å): 7.3472 4.1993 8.3406
angles (deg): 90.00 107.09 90.00
With the nearest neighbours (Å) after each atom.
Sites, in units of the cell vectors:
1 La 0.2022 0.0000 0.1797  2 C 2.75, 1 Ge 2.99
2 La 0.2370 0.5000 0.8109  1 C 2.67, 2 Ge 2.97
3 La 0.7630 0.5000 0.1891  1 C 2.67, 2 Ge 2.97
4 La 0.7978 0.0000 0.8203  2 C 2.75, 1 Ge 2.99
5 Ge 0.5000 0.0000 0.0000  6 La 2.97-2.99
6 C 0.0000 0.5000 0.0000  6 La 2.67-2.75
7 I 0.0000 0.0000 0.5000  6 La 3.39-3.42
8 I 0.5000 0.5000 0.5000  6 La 3.59-3.66

E = -5.456 eV per atom
SG = No. 10
ΔE_f (raw) = -875 meV per atom

(10)
Density functional theory data (PBE-GGA) for LiGeCI2 after structural relaxation.

a b c (Å): 5.3456 5.3456 4.8544
angles (deg): 90.00 90.00 90.00
With the nearest neighbours (Å) after each atom.
Sites, in units of the cell vectors:
1 Li 0.0000 0.0000 0.0000  2 Ge 2.43, 4 I 2.67
2 Ge 0.0000 0.0000 0.5000  2 Li 2.43
3 C 0.5000 0.5000 0.5000  8 I 3.61, 4 Ge 3.78
4 I 0.0000 0.5000 0.0000  2 Li 2.67
5 I 0.5000 0.0000 0.0000  2 Li 2.67

E = -2.287 eV per atom
SG = No. 123
ΔE_f (raw) = 1484 meV per atom

(11)
Density functional theory data (PBE-GGA) for Li2GeCI after structural relaxation.

a b c (Å): 4.2694 4.2694 5.0779
angles (deg): 90.00 90.00 90.00
With the nearest neighbours (Å) after each atom.
Sites, in units of the cell vectors:
1 Li 0.0000 0.5000 0.0000  2 C 2.13
2 Li 0.5000 0.0000 0.0000  2 C 2.13
3 Ge 0.0000 0.0000 0.5000  4 I 3.02, 8 Li 3.32
4 C 0.5000 0.5000 0.0000  4 Li 2.13
5 I 0.5000 0.5000 0.5000  2 C 2.54

E = -3.045 eV per atom
SG = No. 123
ΔE_f (raw) = 798 meV per atom

(12)
Density functional theory data (PBE-GGA) for GeCIN2 after structural relaxation.

a b c (Å): 3.6209 3.6209 7.9268
angles (deg): 90.00 90.00 90.00
With the nearest neighbours (Å) after each atom.
Sites, in units of the cell vectors:
1 Ge 0.0000 0.0000 0.0000  4 N 1.81
2 C 0.5000 0.5000 0.5000  4 I 2.56
3 I 0.0000 0.0000 0.5000  4 C 2.56
4 N 0.0000 0.5000 0.0000  2 Ge 1.81
5 N 0.5000 0.0000 0.0000  2 Ge 1.81

Excess energy over the best structure of this formula in the dataset = 0 meV per atom
E = -4.294 eV per atom
SG = No. 123
ΔE_f (raw) = 2115 meV per atom